{
  "formula": "CuSi2IrN",
  "functional": "GGA-PBEsol",
  "state": "optimized geometry",
  "cell": [[4.4696, 0.0000, 0.0000], [0.0000, 4.4696, 0.0000], [0.0000, 0.0000, 4.8132]],
  "species": ["Cu", "Si", "Si", "Ir", "N"],
  "fractional_positions": [[0.0000, 0.0000, 0.0000], [0.0000, 0.5000, 0.5000], [0.5000, 0.0000, 0.5000], [0.0000, 0.0000, 0.5000], [0.5000, 0.5000, 0.0000]],
  "space_group": "No. 123",
  "raw_formation_energy_mev_per_atom": 1300,
  "total_magnetization_mub_per_fu": 2.53,
  "final_energy_ev_per_atom": -5.536
}